No. 1
This record from the Alexandria database describes KAg2Cl3 after structural relaxation. The functional is PBE-GGA.

Computed properties:
polymorph energy (0 for the lowest one)	0.025	eV per atom
theoretical density	3377	kg/m3
total magnetic moment	0.00	μB/atom

a = 4.5142 Å, b = 6.6525 Å, c = 12.4879 Å
α = 105.38°, β = 100.41°, γ = 90.00°
Element x y z (fractional)
K 0.3643 0.1486 0.7286
K 0.6357 0.8514 0.2714
Ag 0.2853 0.6108 0.5705
Ag 0.7147 0.3892 0.4295
Ag 0.9467 0.7787 0.8935
Ag 0.0533 0.2213 0.1065
Cl 0.2329 0.2004 0.4659
Cl 0.0536 0.8150 0.1071
Cl 0.3918 0.6462 0.7835
Cl 0.7671 0.7996 0.5341
Cl 0.6082 0.3538 0.2165
Cl 0.9464 0.1850 0.8929

---

No. 2
This record from the Alexandria database describes K2AgCl after structural relaxation. The functional is PBE-GGA.

Computed properties:
polymorph energy (0 for the lowest one)	0.381	eV per atom
theoretical density	2796	kg/m3
total magnetic moment	0.00	μB/atom

a = 5.7086 Å, b = 5.7086 Å, c = 5.7086 Å
α = 60.00°, β = 60.00°, γ = 60.00°
Element x y z (fractional)
K 0.0000 0.0000 0.0000
K 0.2500 0.2500 0.2500
Ag 0.5000 0.5000 0.5000
Cl 0.7500 0.7500 0.7500

---

No. 3
This record from the Alexandria database describes KAg2Cl after structural relaxation. The functional is PBE-GGA.

Computed properties:
polymorph energy (0 for the lowest one)	0.338	eV per atom
theoretical density	4744	kg/m3
total magnetic moment	0.00	μB/atom

a = 5.2386 Å, b = 5.2386 Å, c = 5.2386 Å
α = 120.03°, β = 120.03°, γ = 89.95°
Element x y z (fractional)
K 0.7500 0.2500 0.5000
Ag 0.0000 0.0000 0.0000
Ag 0.2500 0.7500 0.5000
Cl 0.5000 0.5000 0.0000

---

No. 4
This record from the Alexandria database describes K2Ag2Cl after structural relaxation. The functional is PBE-GGA.

Computed properties:
total energy	-13.2	eV per cell
theoretical density	3754	kg/m3
total magnetic moment	0.00	μB/atom

a = 3.9107 Å, b = 3.9107 Å, c = 9.9200 Å
α = 78.63°, β = 78.63°, γ = 90.00°
Element x y z (fractional)
K 0.4035 0.4035 0.1931
K 0.5965 0.5965 0.8069
Ag 0.7500 0.2500 0.5000
Ag 0.2500 0.7500 0.5000
Cl 0.0000 0.0000 0.0000